1.
The following is a DFT calculation (PBE) of a relaxed MnGaSiOs crystal.

a = 4.185 Å, b = 4.185 Å, c = 4.185 Å
α = 60.00°, β = 60.00°, γ = 60.00°
Last column: magnetic moment on the atom in μB.
Element x y z (fractional)
Mn 0.500 0.500 0.500  1.71
Si 0.750 0.750 0.750  -0.05
Ga 0.250 0.250 0.250  -0.03
Os 0.000 0.000 0.000  0.07

Properties
**E_form (uncorrected)**: -112 meV per atom


2.
The following is a DFT calculation (PBE) of a relaxed MnGa2P crystal.

a = 7.399 Å, b = 7.399 Å, c = 5.813 Å
α = 50.47°, β = 50.47°, γ = 90.00°
Last column: magnetic moment on the atom in μB.
Element x y z (fractional)
P 0.250 0.750 0.500  0.04
P 0.500 0.500 0.000  0.04
Ga 0.588 0.125 0.250  0.02
Ga 0.375 0.412 0.750  0.02
Ga 0.162 0.625 0.250  0.02
Ga 0.875 0.838 0.750  0.02
Mn 0.000 0.000 0.000  3.83
Mn 0.750 0.250 0.500  3.83

Properties
**DFT formation energy**: 0.11 eV/atom


3.
The following is a DFT calculation (PBE) of a relaxed Mn2GaP crystal.

a = 4.039 Å, b = 4.039 Å, c = 4.039 Å
α = 60.00°, β = 60.00°, γ = 60.00°
Last column: magnetic moment on the atom in μB.
Element x y z (fractional)
Mn 0.750 0.750 0.750  0.89
Mn 0.250 0.250 0.250  0.89
Ga 0.500 0.500 0.500  -0.05
P 0.000 0.000 0.000  -0.07

Properties
**DFT formation energy**: -0.04 eV/atom


4.
The following is a DFT calculation (PBE) of a relaxed MnGaP3 crystal.

a = 4.538 Å, b = 4.538 Å, c = 4.538 Å
α = 90.00°, β = 90.00°, γ = 90.00°
Last column: magnetic moment on the atom in μB.
Element x y z (fractional)
P 0.500 0.000 0.000  0.03
P 0.000 0.000 0.500  0.06
P 0.000 0.500 0.000  0.07
Mn 0.500 0.500 0.500  -0.27
Ga 0.000 0.000 0.000  0.02

Properties
**DFT formation energy**: 1.51 eV/atom


5.
The following is a DFT calculation (PBE) of a relaxed MnGa3P crystal.

a = 4.909 Å, b = 4.909 Å, c = 4.909 Å
α = 90.00°, β = 90.00°, γ = 90.00°
Last column: magnetic moment on the atom in μB.
Element x y z (fractional)
Ga 0.500 0.000 0.000  -0.02
Ga 0.000 0.500 0.000  -0.04
Ga 0.000 0.000 0.500  -0.01
P 0.000 0.000 0.000  0.02
Mn 0.500 0.500 0.500  4.29

Properties
**DFT formation energy**: 0.61 eV/atom
**ΔE to the lowest computed polymorph**: 95 meV/atom


6.
The following is a DFT calculation (PBE) of a relaxed Mn4GaP2 crystal.

a = 4.421 Å, b = 4.421 Å, c = 6.832 Å
α = 71.12°, β = 71.12°, γ = 90.00°
Last column: magnetic moment on the atom in μB.
Element x y z (fractional)
P 0.607 0.607 0.786  -0.09
P 0.393 0.393 0.214  -0.09
Ga 0.000 0.000 0.000  -0.18
Mn 0.000 0.500 0.000  2.51
Mn 0.798 0.798 0.403  3.79
Mn 0.202 0.202 0.597  3.79
Mn 0.500 0.000 0.000  2.51

Properties
**DFT formation energy**: 0.52 eV/atom


7.
The following is a DFT calculation (PBE) of a relaxed Mn3GaP crystal.

a = 3.316 Å, b = 8.146 Å, c = 6.788 Å
α = 51.50°, β = 104.19°, γ = 114.11°
Last column: magnetic moment on the atom in μB.
Element x y z (fractional)
Mn 0.530 0.698 0.201  1.97
Mn 0.159 0.026 0.802  1.97
Mn 0.787 0.556 0.998  2.08
Mn 0.845 0.862 0.502  2.20
Mn 0.903 0.168 0.005  2.08
Mn 0.845 0.362 0.502  2.50
P 0.444 0.823 0.778  -0.10
P 0.246 0.901 0.226  -0.10
Ga 0.538 0.453 0.704  -0.12
Ga 0.151 0.271 0.299  -0.12

Properties
**DFT formation energy**: -0.19 eV/atom


8.
The following is a DFT calculation (PBE) of a relaxed MnGa3P crystal.

a = 4.652 Å, b = 4.652 Å, c = 4.652 Å
α = 90.00°, β = 90.00°, γ = 90.00°
Last column: magnetic moment on the atom in μB.
Element x y z (fractional)
Ga 0.000 0.000 0.500  -0.02
Ga 0.500 0.000 0.000  -0.04
Ga 0.000 0.500 0.000  -0.04
P 0.500 0.500 0.500  0.46
Mn 0.000 0.000 0.000  2.22

Properties
**DFT formation energy**: 0.52 eV/atom
**ΔE to the lowest computed polymorph**: 0 meV/atom


9.
The following is a DFT calculation (PBE) of a relaxed MnGaPPt crystal.

a = 3.177 Å, b = 3.177 Å, c = 5.728 Å
α = 90.00°, β = 90.00°, γ = 90.00°
Last column: magnetic moment on the atom in μB.
Element x y z (fractional)
P 0.000 0.000 0.854  -0.11
Ga 0.500 0.500 0.179  -0.04
Pt 0.000 0.000 0.416  0.05
Mn 0.500 0.500 0.725  2.61

Properties
**DFT formation energy**: -0.36 eV/atom
**ΔE to the lowest computed polymorph**: 12 meV/atom


10.
The following is a DFT calculation (PBE) of a relaxed MnGaPPt crystal.

a = 2.822 Å, b = 2.900 Å, c = 13.315 Å
α = 90.00°, β = 90.00°, γ = 90.00°
Element x y z (fractional)
Mn 0.500 0.500 0.558
Mn 0.500 0.000 0.058
Ga 0.000 0.500 0.927
Ga 0.000 0.000 0.427
Pt 0.500 0.500 0.291
Pt 0.500 0.000 0.791
P 0.000 0.500 0.137
P 0.000 0.000 0.637

Properties
**DFT formation energy**: -0.31 eV/atom
**ΔE to the lowest computed polymorph**: 67 meV/atom


11.
The following is a DFT calculation (PBE) of a relaxed MnGaPPt crystal.

a = 3.088 Å, b = 3.088 Å, c = 13.001 Å
α = 90.00°, β = 90.00°, γ = 90.00°
Last column: magnetic moment on the atom in μB.
Element x y z (fractional)
Pt 0.500 0.500 0.120  0.05
Pt 0.000 0.000 0.620  0.05
Ga 0.000 0.000 0.225  -0.01
Ga 0.500 0.500 0.725  -0.01
P 0.500 0.500 0.910  -0.12
P 0.000 0.000 0.410  -0.12
Mn 0.000 0.000 0.978  2.78
Mn 0.500 0.500 0.478  2.78

Properties
**DFT formation energy**: -0.38 eV/atom
**ΔE to the lowest computed polymorph**: 0 meV/atom


12.
The following is a DFT calculation (PBE) of a relaxed MnGaPPt crystal.

a = 2.808 Å, b = 4.190 Å, c = 5.671 Å
α = 89.22°, β = 104.30°, γ = 109.54°
Last column: magnetic moment on the atom in μB.
Element x y z (fractional)
Ga 0.796 0.330 0.590  -0.03
P 0.834 0.798 0.199  -0.07
Pt 0.223 0.925 0.846  0.05
Mn 0.114 0.366 0.190  1.54

Properties
**DFT formation energy**: -0.26 eV/atom
**ΔE to the lowest computed polymorph**: 118 meV/atom


13.
The following is a DFT calculation (PBE) of a relaxed MnGaPPt crystal.

a = 2.869 Å, b = 2.869 Å, c = 13.609 Å
α = 90.00°, β = 90.00°, γ = 90.00°
Last column: magnetic moment on the atom in μB.
Element x y z (fractional)
P 0.000 0.000 0.331  -0.03
P 0.500 0.500 0.831  -0.03
Pt 0.000 0.000 0.157  0.02
Pt 0.500 0.500 0.657  0.02
Mn 0.500 0.500 0.416  0.67
Mn 0.000 0.000 0.916  0.67
Ga 0.500 0.500 0.037  -0.02
Ga 0.000 0.000 0.537  -0.02

Properties
**DFT formation energy**: -0.37 eV/atom
**ΔE to the lowest computed polymorph**: 10 meV/atom


14.
The following is a DFT calculation (PBE) of a relaxed MnGaPPt crystal.

a = 6.523 Å, b = 2.921 Å, c = 7.696 Å
α = 90.00°, β = 126.39°, γ = 90.00°
Last column: magnetic moment on the atom in μB.
Element x y z (fractional)
P 0.824 0.000 0.328  -0.06
P 0.824 0.500 0.828  -0.06
Mn 0.726 0.500 0.489  1.14
Mn 0.726 0.000 0.989  1.14
Pt 0.191 0.000 0.686  0.04
Pt 0.191 0.500 0.186  0.04
Ga 0.434 0.000 0.532  -0.03
Ga 0.434 0.500 0.032  -0.03

Properties
**DFT formation energy**: -0.30 eV/atom
**ΔE to the lowest computed polymorph**: 77 meV/atom


15.
The following is a DFT calculation (PBE) of a relaxed MnGaPPt crystal.

a = 5.113 Å, b = 2.920 Å, c = 7.906 Å
α = 90.00°, β = 92.52°, γ = 90.00°
Last column: magnetic moment on the atom in μB.
Element x y z (fractional)
P 0.762 0.000 0.985  -0.07
P 0.762 0.500 0.485  -0.07
Mn 0.871 0.000 0.698  1.55
Mn 0.871 0.500 0.198  1.55
Ga 0.158 0.000 0.411  -0.04
Ga 0.158 0.500 0.911  -0.04
Pt 0.383 0.500 0.637  0.01
Pt 0.383 0.000 0.137  0.01

Properties
**DFT formation energy**: -0.26 eV/atom
**ΔE to the lowest computed polymorph**: 115 meV/atom


16.
The following is a DFT calculation (PBE) of a relaxed MnGaPPt crystal.

a = 3.696 Å, b = 3.696 Å, c = 5.380 Å
α = 90.00°, β = 90.00°, γ = 60.02°
Last column: magnetic moment on the atom in μB.
Element x y z (fractional)
Mn 0.889 0.070 0.688  2.97
Ga 0.555 0.736 0.416  -0.04
Pt 0.889 0.069 0.169  0.03
P 0.222 0.403 0.902  -0.08

Properties
**DFT formation energy**: -0.34 eV/atom
**ΔE to the lowest computed polymorph**: 41 meV/atom


17.
The following is a DFT calculation (PBE) of a relaxed MnGaPPt crystal.

a = 2.742 Å, b = 3.398 Å, c = 6.371 Å
α = 90.00°, β = 90.00°, γ = 90.00°
Last column: magnetic moment on the atom in μB.
Element x y z (fractional)
P 0.500 0.000 0.737  -0.05
Mn 0.000 0.500 0.839  1.21
Ga 0.500 0.500 0.179  -0.04
Pt 0.000 0.000 0.419  -0.03

Properties
**DFT formation energy**: -0.38 eV/atom
**ΔE to the lowest computed polymorph**: 1 meV/atom


18.
The following is a DFT calculation (PBE) of a relaxed MnGaPPt crystal.

a = 7.508 Å, b = 2.879 Å, c = 5.172 Å
α = 90.00°, β = 94.86°, γ = 90.00°
Element x y z (fractional)
Pt 0.573 0.000 0.483
Pt 0.573 0.500 0.983
P 0.299 0.000 0.897
P 0.299 0.500 0.397
Mn 0.106 0.000 0.551
Mn 0.106 0.500 0.051
Ga 0.847 0.000 0.185
Ga 0.847 0.500 0.685

Properties
**DFT formation energy**: -0.27 eV/atom
**ΔE to the lowest computed polymorph**: 109 meV/atom


19.
The following is a DFT calculation (PBE) of a relaxed MnGaPPt crystal.

a = 5.236 Å, b = 3.331 Å, c = 7.465 Å
α = 90.00°, β = 112.78°, γ = 90.00°
Last column: magnetic moment on the atom in μB.
Element x y z (fractional)
Pt 0.834 0.500 0.454  -0.05
Pt 0.834 0.000 0.954  -0.05
Mn 0.247 0.500 0.282  1.94
Mn 0.247 0.000 0.782  1.94
P 0.169 0.500 0.963  -0.09
P 0.169 0.000 0.463  -0.09
Ga 0.575 0.500 0.678  -0.06
Ga 0.575 0.000 0.178  -0.06

Properties
**DFT formation energy**: -0.31 eV/atom
**ΔE to the lowest computed polymorph**: 66 meV/atom


20.
The following is a DFT calculation (PBE) of a relaxed MnGaPPt crystal.

a = 4.218 Å, b = 2.848 Å, c = 5.109 Å
α = 90.00°, β = 104.30°, γ = 90.00°
Last column: magnetic moment on the atom in μB.
Element x y z (fractional)
Mn 0.961 0.000 0.056  2.12
Ga 0.433 0.500 0.880  -0.07
Pt 0.839 0.500 0.549  0.01
P 0.278 0.500 0.341  -0.07

Properties
**DFT formation energy**: -0.26 eV/atom
**ΔE to the lowest computed polymorph**: 116 meV/atom


21.
The following is a DFT calculation (PBE) of a relaxed MnGaPPt crystal.

a = 2.769 Å, b = 3.309 Å, c = 12.607 Å
α = 90.00°, β = 90.00°, γ = 90.00°
Last column: magnetic moment on the atom in μB.
Element x y z (fractional)
Pt 0.500 0.000 0.638  -0.02
Pt 0.000 0.500 0.138  -0.02
Mn 0.000 0.000 0.838  0.94
Mn 0.500 0.500 0.338  0.94
Ga 0.000 0.500 0.510  -0.03
Ga 0.500 0.000 0.010  -0.03
P 0.000 0.000 0.282  -0.04
P 0.500 0.500 0.782  -0.04

Properties
**DFT formation energy**: -0.37 eV/atom
**ΔE to the lowest computed polymorph**: 11 meV/atom


22.
The following is a DFT calculation (PBE) of a relaxed Mn2GaPRh crystal.

a = 4.599 Å, b = 4.442 Å, c = 4.599 Å
α = 90.00°, β = 90.00°, γ = 90.00°
Last column: magnetic moment on the atom in μB.
Element x y z (fractional)
Ga 0.000 0.000 0.000  -0.09
Mn 0.000 0.000 0.500  3.84
Mn 0.500 0.000 0.000  3.66
Rh 0.500 0.500 0.500  0.50
P 0.000 0.500 0.000  0.07

Properties
**DFT formation energy**: 1.07 eV/atom


23.
The following is a DFT calculation (PBE) of a relaxed MnGaPS2 crystal.

a = 4.743 Å, b = 4.743 Å, c = 4.621 Å
α = 90.00°, β = 90.00°, γ = 90.00°
Last column: magnetic moment on the atom in μB.
Element x y z (fractional)
Ga 0.000 0.000 0.000  -0.01
S 0.500 0.000 0.000  -0.09
S 0.000 0.500 0.000  -0.09
Mn 0.500 0.500 0.500  4.41
P 0.000 0.000 0.500  -0.28

Properties
**E_form (uncorrected)**: 634 meV per atom
**ΔE to the lowest computed polymorph**: 434 meV/atom


24.
The following is a DFT calculation (PBE) of a relaxed MnGaPS2 crystal.

a = 4.635 Å, b = 4.635 Å, c = 4.459 Å
α = 90.00°, β = 90.00°, γ = 90.00°
Last column: magnetic moment on the atom in μB.
Element x y z (fractional)
Ga 0.500 0.500 0.500  -0.02
P 0.000 0.000 0.500  -0.27
S 0.000 0.500 0.000  0.07
S 0.500 0.000 0.000  0.07
Mn 0.000 0.000 0.000  2.50

Properties
**E_form (uncorrected)**: 199 meV per atom
**ΔE to the lowest computed polymorph**: 0 meV/atom


25.
The following is a DFT calculation (PBE) of a relaxed MnGaPSe crystal.

a = 2.805 Å, b = 2.916 Å, c = 9.561 Å
α = 81.37°, β = 81.71°, γ = 61.44°
Last column: magnetic moment on the atom in μB.
Element x y z (fractional)
Se 0.886 0.670 0.855  0.00
Ga 0.804 0.571 0.122  -0.01
P 0.684 0.452 0.487  -0.02
Mn 0.410 0.160 0.323  0.31

Properties
**E_form (uncorrected)**: -29 meV per atom
**ΔE to the lowest computed polymorph**: 274 meV/atom


26.
The following is a DFT calculation (PBE) of a relaxed MnGaPSe crystal.

a = 3.566 Å, b = 2.744 Å, c = 15.792 Å
α = 90.00°, β = 90.00°, γ = 90.00°
Last column: magnetic moment on the atom in μB.
Element x y z (fractional)
P 0.000 0.000 0.649  -0.02
P 0.500 0.500 0.149  -0.02
Ga 0.500 0.000 0.816  -0.04
Ga 0.000 0.500 0.316  -0.04
Mn 0.000 0.000 0.182  1.50
Mn 0.500 0.500 0.682  1.50
Se 0.500 0.500 0.423  -0.01
Se 0.000 0.000 0.923  -0.01

Properties
**E_form (uncorrected)**: -149 meV per atom
**ΔE to the lowest computed polymorph**: 154 meV/atom


27.
The following is a DFT calculation (PBE) of a relaxed MnGaPSe crystal.

a = 3.484 Å, b = 4.605 Å, c = 4.905 Å
α = 65.65°, β = 76.46°, γ = 84.13°
Last column: magnetic moment on the atom in μB.
Element x y z (fractional)
Mn 0.148 0.832 0.894  2.39
Ga 0.826 0.982 0.394  -0.04
Se 0.292 0.398 0.728  0.01
P 0.590 0.572 0.195  -0.07

Properties
**E_form (uncorrected)**: -21 meV per atom
**ΔE to the lowest computed polymorph**: 282 meV/atom


Computed final energy (eV/atom) in order:
-7.32, -5.05, -6.74, -4.17, -4.12, -6.70, -7.38, -4.21, -6.28, -6.22, -6.29, -6.17, -6.28, -6.21, -6.17, -6.25, -6.29, -6.18, -6.22, -6.17, -6.28, -5.76, -4.54, -4.97, -5.30, -5.42, -5.29
Computed D(E_F) (states/eV/cell) in order:
4.8, 4.5, 11.7, 6.5, 2.5, 3.5, 7.2, 2.5, 1.8, 3.9, 3.9, 1.9, 5.2, 4.8, 4.2, 2.4, 2.2, 4.0, 2.9, 2.7, 3.9, 4.1, 2.0, 3.3, 1.6, 3.5, 1.7